LiMn4F10: relaxed, PBE+U.

Cell lengths 14.435, 14.435, 14.435 Å; angles 14.94, 14.94, 14.94 degrees
Fractional positions:
Li1 0.000 0.000 0.000
Mn1 0.201 0.201 0.201
Mn2 0.397 0.397 0.397
Mn3 0.603 0.603 0.603
Mn4 0.799 0.799 0.799
F1 0.053 0.053 0.053
F2 0.149 0.149 0.149
F3 0.251 0.251 0.251
F4 0.352 0.352 0.352
F5 0.447 0.447 0.447
F6 0.553 0.553 0.553
F7 0.648 0.648 0.648
F8 0.749 0.749 0.749
F9 0.851 0.851 0.851
F10 0.947 0.947 0.947

Computed properties:
ρ: 3.97 g cm⁻³
total energy: -88.7 eV per cell
calculated volume: 174.1 Å³ per cell
density of states at the Fermi level: 5.2 states/eV/cell